# Ho4Er2Mg5

A relaxed Ho4Er2Mg5 crystal (PBE-GGA, Alexandria).

Cell: 6.1670 9.8972 22.2494 Å, 90.00 90.00 90.00°
Last column: nearest neighbours and their distance in Å.
Space group Fmmm (No. 69)
One atom of each set of equivalent atoms:
Ho 0.0000 0.1671 0.1272  5 Mg 3.24-3.33, 3 Ho 3.31-3.49, 3 Er 3.33-3.53
Er 0.0000 0.0000 0.3525  6 Ho 3.33-3.53, 4 Mg 3.70
Mg 0.0000 0.0000 0.0000  4 Mg 2.92
Mg 0.2500 0.2500 0.0000  4 Mg 2.92-3.08
Mg 0.2500 0.2500 0.2500  2 Mg 3.08, 4 Ho 3.24

Results
Energy relative to the elements: 0.257 eV per atom
M_tot: 0.00 μB/cell
Total energy: -2.9621 eV/atom

# Ho3Er7Mg2

A relaxed Ho3Er7Mg2 crystal (PBE-GGA, Alexandria).

Cell: 5.6785 3.4958 18.3448 Å, 90.00 93.74 90.00°
Last column: nearest neighbours and their distance in Å.
Space group P2/m (No. 10)
One atom of each set of equivalent atoms:
Ho 0.0000 0.0000 0.0000  10 Er 3.32-3.69, 2 Ho 3.50
Ho 0.2775 0.5000 0.6305  2 Ho 3.50, 6 Er 3.56-3.73, 4 Mg 3.61-3.63
Er 0.1799 0.5000 0.1469  2 Mg 3.20, 2 Ho 3.32, 7 Er 3.35-3.50
Er 0.2416 0.0000 0.4609  1 Mg 3.07, 2 Er 3.18
Er 0.3169 0.0000 0.8304  8 Er 3.35-3.66, 2 Mg 3.60-3.65, 1 Ho 3.69
Er 0.5000 0.5000 0.0000  4 Ho 3.33, 8 Er 3.35-3.66
Mg 0.2038 0.0000 0.2930  3 Er 3.07-3.20

Results
Energy relative to the elements: 0.098 eV per atom
M_tot: 0.00 μB/cell
Total energy: -3.9741 eV/atom

# Ho2ErMg8

A relaxed Ho2ErMg8 crystal (PBE-GGA, Alexandria).

Cell: 15.8666 5.0142 7.3443 Å, 90.00 109.02 90.00°
Last column: nearest neighbours and their distance in Å.
Space group C2/m (No. 12)
One atom of each set of equivalent atoms:
Ho 0.2230 0.0000 0.1390  10 Mg 3.27-3.38, 2 Ho 3.51
Er 0.0000 0.5000 0.5000  12 Mg 3.14-3.37
Mg 0.0275 0.0000 0.2189  7 Mg 3.04-3.40, 1 Ho 3.34, 2 Er 3.37
Mg 0.0888 0.5000 0.9633  4 Mg 3.02-3.14, 1 Er 3.23, 3 Ho 3.27-3.31
Mg 0.1408 0.0000 0.6532  5 Mg 3.03-3.30, 2 Er 3.30, 3 Ho 3.34-3.38
Mg 0.1769 0.5000 0.3952  4 Mg 3.02-3.30, 1 Er 3.14, 3 Ho 3.27-3.35

Results
Energy relative to the elements: -0.027 eV per atom
M_tot: 0.00 μB/cell
Total energy: -2.4342 eV/atom

# HoEr2Mg2

A relaxed HoEr2Mg2 crystal (PBE-GGA, Alexandria).

Cell: 3.6872 5.3997 13.9840 Å, 90.00 97.57 90.00°
Last column: nearest neighbours and their distance in Å.
Space group P2_1/m (No. 11)
One atom of each set of equivalent atoms:
Ho 0.1521 0.2500 0.3047  6 Mg 3.29, 4 Er 3.57-3.58
Er 0.0438 0.7500 0.0874  8 Mg 3.24-3.28, 2 Er 3.63
Er 0.2370 0.7500 0.4747  2 Mg 3.27, 4 Er 3.34-3.35, 4 Ho 3.57-3.58
Mg 0.3607 0.2500 0.7201  4 Er 3.24-3.27, 4 Ho 3.29, 2 Mg 3.60
Mg 0.4463 0.7500 0.8920  6 Er 3.28, 2 Ho 3.29, 2 Mg 3.60

Results
Energy relative to the elements: -0.061 eV per atom
M_tot: 0.00 μB/cell
Total energy: -3.4394 eV/atom
Relative energy among the computed polymorphs: 0.000 eV/atom